## CePuC2 (PBE-GGA)

Data for a relaxed structure of CePuC2.

Computed properties:
- E_form (eV/atom) = 0.406
- V (Å³/atom) = 14.275
- raw total energy (eV per atom) = -9.27
- space group = P4/mmm, No. 123
- energy above the most stable polymorph in this dataset (eV per formula unit) = 1.48

Unit cell a=3.0525 b=4.3250 c=4.3250 alpha=90.00 beta=90.00 gamma=90.00
Each line ends with the local moment (μB).
Fractional positions:
Pu: 0.5000 0.5000 0.5000  4.45
C: 0.0000 0.5000 0.0000  -0.22
C: 0.0000 0.0000 0.5000  -0.22
Ce: 0.5000 0.0000 0.0000  0.11